1.
First-principles (meta-GGA SCAN) data for NdBiRh at its PBEsol-relaxed geometry, as listed in Alexandria via LeMat-Bulk.

a = 4.7049 Å, b = 7.3538 Å, c = 7.9846 Å
α = 90.00°, β = 90.00°, γ = 90.00°
Fractional coordinates of all 12 atoms:
1 Rh 0.7500 0.2064 0.0813
2 Rh 0.7500 0.7064 0.4187
3 Rh 0.2500 0.2936 0.5813
4 Rh 0.2500 0.7936 0.9187
5 Nd 0.2500 0.0132 0.3035
6 Nd 0.7500 0.9868 0.6965
7 Nd 0.2500 0.5132 0.1965
8 Nd 0.7500 0.4868 0.8035
9 Bi 0.2500 0.6834 0.5894
10 Bi 0.7500 0.8166 0.0894
11 Bi 0.7500 0.3166 0.4106
12 Bi 0.2500 0.1834 0.9106

Size of the total moment   0.00 μB/f.u.
DFT formation energy   -883 meV/atom

=====

2.
First-principles (meta-GGA SCAN) data for TlV3CdCu4O13 at its PBEsol-relaxed geometry, as listed in Alexandria via LeMat-Bulk.

a = 6.2287 Å, b = 8.3371 Å, c = 10.6768 Å
α = 96.93°, β = 90.00°, γ = 90.00°
Last column: magnetic moment on the atom in μB.
Fractional coordinates of all 44 atoms:
1 Tl 0.2500 0.5108 0.8991  0.00
2 Tl 0.7500 0.4892 0.1009  0.00
3 V 0.2500 0.1416 0.0092  0.01
4 V 0.7500 0.8584 0.9908  0.01
5 V 0.2500 0.4665 0.3004  0.08
6 V 0.7500 0.5335 0.6996  0.08
7 V 0.2500 0.1753 0.6215  0.06
8 V 0.7500 0.8247 0.3785  0.06
9 Cd 0.2500 0.8058 0.1364  0.00
10 Cd 0.7500 0.1942 0.8636  0.00
11 Cu 0.9966 0.8886 0.7169  0.70
12 Cu 0.0034 0.1114 0.2831  0.70
13 Cu 0.4966 0.1114 0.2831  0.70
14 Cu 0.5034 0.8886 0.7169  0.70
15 Cu 0.2500 0.8574 0.4392  0.68
16 Cu 0.7500 0.1426 0.5608  0.68
17 Cu 0.2500 0.5987 0.6100  0.69
18 Cu 0.7500 0.4013 0.3900  0.69
19 O 0.2500 0.3754 0.6211  0.05
20 O 0.7500 0.6246 0.3789  0.05
21 O 0.2500 0.0896 0.4672  0.07
22 O 0.7500 0.9104 0.5328  0.07
23 O 0.2500 0.6239 0.4221  0.07
24 O 0.7500 0.3761 0.5779  0.07
25 O 0.9920 0.8835 0.3069  0.07
26 O 0.0080 0.1165 0.6931  0.07
27 O 0.4920 0.1165 0.6931  0.07
28 O 0.5080 0.8835 0.3069  0.07
29 O 0.2500 0.8431 0.6209  0.38
30 O 0.7500 0.1569 0.3791  0.38
31 O 0.2500 0.9775 0.9043  0.00
32 O 0.7500 0.0225 0.0957  0.00
33 O 0.2500 0.0800 0.1738  0.10
34 O 0.7500 0.9200 0.8262  0.10
35 O 0.0332 0.2574 0.9841  0.01
36 O 0.9668 0.7426 0.0159  0.01
37 O 0.5332 0.7426 0.0159  0.01
38 O 0.4668 0.2574 0.9841  0.01
39 O 0.2500 0.5473 0.1643  0.01
40 O 0.7500 0.4527 0.8357  0.01
41 O 0.5244 0.6576 0.6980  0.08
42 O 0.4756 0.3424 0.3020  0.08
43 O 0.0244 0.3424 0.3020  0.08
44 O 0.9756 0.6576 0.6980  0.08

Size of the total moment   4.00 μB/f.u.
Formation energy (no corrections)   -3620 kJ/mol of formula units

=====

3.
First-principles (meta-GGA SCAN) data for AgPt3 at its PBEsol-relaxed geometry, as listed in Alexandria via LeMat-Bulk.

a = 4.7898 Å, b = 5.5480 Å, c = 9.2017 Å
α = 90.00°, β = 90.00°, γ = 90.00°
Last column: magnetic moment on the atom in μB.
Fractional coordinates of all 16 atoms:
1 Pt 0.0961 0.1346 0.7500  0.13
2 Pt 0.7457 0.6222 0.0030  0.07
3 Pt 0.7457 0.6222 0.4970  0.07
4 Pt 0.7543 0.1222 0.5030  0.07
5 Pt 0.7543 0.1222 0.9970  0.07
6 Pt 0.4039 0.6346 0.2500  0.13
7 Pt 0.5961 0.3654 0.7500  0.13
8 Pt 0.2457 0.8778 0.0030  0.07
9 Pt 0.2457 0.8778 0.4970  0.07
10 Pt 0.2543 0.3778 0.5030  0.07
11 Pt 0.2543 0.3778 0.9970  0.07
12 Pt 0.9039 0.8654 0.2500  0.13
13 Ag 0.9141 0.3673 0.2500  0.01
14 Ag 0.5859 0.8673 0.7500  0.01
15 Ag 0.4141 0.1327 0.2500  0.01
16 Ag 0.0859 0.6327 0.7500  0.01

Size of the total moment   0.26 μB/f.u.
DFT formation energy   60 meV/atom

=====

4.
First-principles (meta-GGA SCAN) data for MnSi2MoIr at its PBEsol-relaxed geometry, as listed in Alexandria via LeMat-Bulk.

a = 4.2166 Å, b = 4.2166 Å, c = 4.4291 Å
α = 90.00°, β = 90.00°, γ = 90.00°
Last column: magnetic moment on the atom in μB.
Fractional coordinates of all 5 atoms:
1 Mo 0.5000 0.5000 0.5000  2.87
2 Ir 0.0000 0.0000 0.5000  -0.11
3 Si 0.0000 0.5000 0.0000  -0.04
4 Si 0.5000 0.0000 0.0000  -0.04
5 Mn 0.0000 0.0000 0.0000  0.86

Size of the total moment   3.74 μB/f.u.
Formation energy (no corrections)   444 kJ/mol of formula units

=====

5.
First-principles (meta-GGA SCAN) data for CaTl2Pb at its PBEsol-relaxed geometry, as listed in Alexandria via LeMat-Bulk.

a = 3.7791 Å, b = 5.4320 Å, c = 6.4027 Å
α = 115.10°, β = 107.16°, γ = 90.00°
Fractional coordinates of all 4 atoms:
1 Pb 0.0000 0.5000 0.0000
2 Tl 0.7465 0.7465 0.4929
3 Tl 0.2535 0.2535 0.5071
4 Ca 0.5000 0.0000 0.0000

Size of the total moment   0.00 μB/f.u.
DFT formation energy   -321 meV/atom

=====

6.
First-principles (meta-GGA SCAN) data for LiNiP4O12 at its PBEsol-relaxed geometry, as listed in Alexandria via LeMat-Bulk.

a = 7.5473 Å, b = 9.4132 Å, c = 12.7824 Å
α = 90.00°, β = 90.00°, γ = 99.91°
Last column: magnetic moment on the atom in μB.
Fractional coordinates of all 72 atoms:
1 Li 0.3538 0.0852 0.1960  0.00
2 Li 0.1462 0.4148 0.6960  0.00
3 Li 0.8538 0.5852 0.3040  0.00
4 Li 0.6462 0.9148 0.8040  0.00
5 Ni 0.3872 0.5022 0.3015  2.01
6 Ni 0.1128 0.9978 0.8015  2.01
7 Ni 0.8872 0.0022 0.1985  2.01
8 Ni 0.6128 0.4978 0.6985  2.01
9 P 0.5886 0.2393 0.8882  0.00
10 P 0.6010 0.7896 0.3642  0.01
11 P 0.7107 0.7860 0.5878  0.00
12 P 0.7858 0.2664 0.6040  -0.01
13 P 0.7142 0.2336 0.1040  -0.01
14 P 0.7893 0.7140 0.0878  0.00
15 P 0.8990 0.7104 0.8642  0.01
16 P 0.9114 0.2607 0.3882  0.00
17 P 0.0886 0.7393 0.6118  0.00
18 P 0.1010 0.2896 0.1358  0.01
19 P 0.2107 0.2860 0.9122  0.00
20 P 0.2858 0.7664 0.8960  -0.01
21 P 0.2142 0.7336 0.3960  -0.01
22 P 0.2893 0.2140 0.4122  0.00
23 P 0.3990 0.2104 0.6358  0.01
24 P 0.4114 0.7607 0.1118  0.00
25 O 0.5979 0.1739 0.6408  0.00
26 O 0.5708 0.6513 0.6095  0.17
27 O 0.6052 0.7663 0.0588  0.01
28 O 0.5564 0.2597 0.1656  0.08
29 O 0.6214 0.3624 0.8115  0.12
30 O 0.6000 0.6278 0.3622  0.07
31 O 0.6169 0.0945 0.8563  0.05
32 O 0.7626 0.4255 0.6013  0.23
33 O 0.7145 0.2932 0.9872  0.02
34 O 0.6666 0.8510 0.4760  0.02
35 O 0.7069 0.8729 0.2794  0.05
36 O 0.7700 0.5946 0.1641  0.04
37 O 0.7300 0.9054 0.6641  0.04
38 O 0.7855 0.2068 0.4872  0.02
39 O 0.7931 0.6271 0.7794  0.05
40 O 0.7374 0.0745 0.1013  0.23
41 O 0.8334 0.6490 0.9760  0.02
42 O 0.8831 0.4055 0.3563  0.05
43 O 0.9000 0.8722 0.8622  0.07
44 O 0.8786 0.1376 0.3115  0.12
45 O 0.9436 0.2403 0.6656  0.08
46 O 0.8948 0.7337 0.5588  0.01
47 O 0.9021 0.3261 0.1408  0.00
48 O 0.9292 0.8487 0.1095  0.17
49 O 0.0708 0.1513 0.8905  0.17
50 O 0.0979 0.6739 0.8592  0.00
51 O 0.1052 0.2663 0.4412  0.01
52 O 0.0564 0.7597 0.3344  0.08
53 O 0.1214 0.8624 0.6885  0.12
54 O 0.1000 0.1278 0.1378  0.07
55 O 0.1169 0.5945 0.6437  0.05
56 O 0.1666 0.3510 0.0240  0.02
57 O 0.2626 0.9255 0.8987  0.23
58 O 0.2069 0.3729 0.2206  0.05
59 O 0.2145 0.7932 0.5128  0.02
60 O 0.2700 0.0946 0.3359  0.04
61 O 0.2300 0.4054 0.8359  0.04
62 O 0.2931 0.1271 0.7206  0.05
63 O 0.3334 0.1490 0.5240  0.02
64 O 0.2855 0.7068 0.0128  0.02
65 O 0.2374 0.5745 0.3987  0.23
66 O 0.3831 0.9055 0.1437  0.05
67 O 0.4000 0.3722 0.6378  0.07
68 O 0.3786 0.6376 0.1885  0.12
69 O 0.4436 0.7403 0.8344  0.08
70 O 0.3948 0.2337 0.9412  0.01
71 O 0.4292 0.3487 0.3905  0.17
72 O 0.4021 0.8261 0.3592  0.00

Size of the total moment   3.03 μB/f.u.
Energy above the lowest structure with this stoichiometry   85.9 meV per atom
Formation energy (no corrections)   -3725 kJ/mol of formula units

=====

7.
First-principles (meta-GGA SCAN) data for NbAsPtSe2 at its PBEsol-relaxed geometry, as listed in Alexandria via LeMat-Bulk.

a = 4.6443 Å, b = 4.9156 Å, c = 4.9156 Å
α = 90.00°, β = 90.00°, γ = 90.00°
Last column: magnetic moment on the atom in μB.
Fractional coordinates of all 5 atoms:
1 As 0.5000 0.0000 0.0000  -0.24
2 Nb 0.5000 0.5000 0.5000  2.20
3 Se 0.0000 0.0000 0.5000  -0.19
4 Se 0.0000 0.5000 0.0000  -0.19
5 Pt 0.0000 0.0000 0.0000  -0.06

Size of the total moment   1.86 μB/f.u.
Formation energy (no corrections)   302 kJ/mol of formula units

=====

8.
First-principles (meta-GGA SCAN) data for In2CoRu at its PBEsol-relaxed geometry, as listed in Alexandria via LeMat-Bulk.

a = 2.9929 Å, b = 2.9929 Å, c = 8.4284 Å
α = 79.77°, β = 79.77°, γ = 60.00°
Last column: magnetic moment on the atom in μB.
Fractional coordinates of all 4 atoms:
1 Co 0.0000 0.0000 0.0000  1.50
2 In 0.2529 0.2529 0.2413  -0.05
3 In 0.7471 0.7471 0.7587  -0.05
4 Ru 0.5000 0.5000 0.5000  0.06

Size of the total moment   1.44 μB/f.u.
DFT formation energy   338 meV/atom

=====

9.
First-principles (meta-GGA SCAN) data for MnMoAsSe2 at its PBEsol-relaxed geometry, as listed in Alexandria via LeMat-Bulk.

a = 4.5086 Å, b = 4.7053 Å, c = 4.7053 Å
α = 90.00°, β = 90.00°, γ = 90.00°
Last column: magnetic moment on the atom in μB.
Fractional coordinates of all 5 atoms:
1 Mo 0.5000 0.5000 0.5000  3.64
2 Mn 0.0000 0.0000 0.0000  3.30
3 As 0.5000 0.0000 0.0000  -0.39
4 Se 0.0000 0.0000 0.5000  -0.21
5 Se 0.0000 0.5000 0.0000  -0.21

Size of the total moment   6.33 μB/f.u.
Formation energy (no corrections)   280 kJ/mol of formula units

=====

10.
First-principles (meta-GGA SCAN) data for DyTe3O8 at its PBEsol-relaxed geometry, as listed in Alexandria via LeMat-Bulk.

a = 5.5353 Å, b = 6.7911 Å, c = 9.8551 Å
α = 74.69°, β = 73.69°, γ = 65.95°
Fractional coordinates of all 24 atoms:
1 Dy 0.5593 0.7500 0.2500
2 Dy 0.4407 0.2500 0.7500
3 Te 0.3048 0.4131 0.1425
4 Te 0.1395 0.9131 0.6425
5 Te 0.0000 0.5000 0.5000
6 Te 0.0000 0.0000 0.0000
7 Te 0.8605 0.0869 0.3575
8 Te 0.6952 0.5869 0.8575
9 O 0.9913 0.6946 0.0946
10 O 0.2196 0.1946 0.5946
11 O 0.6334 0.0932 0.1337
12 O 0.2150 0.9412 0.4148
13 O 0.1541 0.9973 0.1702
14 O 0.1398 0.5932 0.6337
15 O 0.4291 0.4412 0.9148
16 O 0.6784 0.4973 0.6702
17 O 0.3216 0.5027 0.3298
18 O 0.5709 0.5588 0.0852
19 O 0.8602 0.4068 0.3663
20 O 0.8459 0.0027 0.8298
21 O 0.7850 0.0588 0.5852
22 O 0.3666 0.9068 0.8663
23 O 0.7804 0.8054 0.4054
24 O 0.0087 0.3054 0.9054

Size of the total moment   0.00 μB/f.u.
Formation energy (no corrections)   -1926 kJ/mol of formula units

=====

11.
First-principles (meta-GGA SCAN) data for Mg3TlP at its PBEsol-relaxed geometry, as listed in Alexandria via LeMat-Bulk.

a = 5.1671 Å, b = 5.1671 Å, c = 5.1671 Å
α = 90.00°, β = 90.00°, γ = 90.00°
Fractional coordinates of all 5 atoms:
1 P 0.5000 0.5000 0.5000
2 Tl 0.0000 0.0000 0.0000
3 Mg 0.0000 0.5000 0.0000
4 Mg 0.0000 0.0000 0.5000
5 Mg 0.5000 0.0000 0.0000

Size of the total moment   0.00 μB/f.u.
DFT formation energy   492 meV/atom

=====

12.
First-principles (meta-GGA SCAN) data for GeBrO2F at its PBEsol-relaxed geometry, as listed in Alexandria via LeMat-Bulk.

a = 3.8214 Å, b = 3.8214 Å, c = 3.9423 Å
α = 90.00°, β = 90.00°, γ = 90.00°
Last column: magnetic moment on the atom in μB.
Fractional coordinates of all 5 atoms:
1 Ge 0.0000 0.0000 0.0000  -0.04
2 O 0.0000 0.5000 0.0000  0.38
3 O 0.5000 0.0000 0.0000  0.38
4 Br 0.5000 0.5000 0.5000  1.02
5 F 0.0000 0.0000 0.5000  0.04

Size of the total moment   2.07 μB/f.u.
Formation energy (no corrections)   -300 kJ/mol of formula units

=====

13.
First-principles (meta-GGA SCAN) data for CsBe3S at its PBEsol-relaxed geometry, as listed in Alexandria via LeMat-Bulk.

a = 6.2617 Å, b = 6.2617 Å, c = 6.2617 Å
α = 90.00°, β = 90.00°, γ = 90.00°
Last column: magnetic moment on the atom in μB.
Fractional coordinates of all 5 atoms:
1 Cs 0.0000 0.0000 0.0000  0.00
2 Be 0.0000 0.5000 0.0000  0.00
3 Be 0.0000 0.0000 0.5000  0.00
4 Be 0.5000 0.0000 0.0000  0.00
5 S 0.5000 0.5000 0.5000  0.65

Size of the total moment   1.00 μB/f.u.
Formation energy (no corrections)   1211 kJ/mol of formula units

=====

14.
First-principles (meta-GGA SCAN) data for SrH16O10 at its PBEsol-relaxed geometry, as listed in Alexandria via LeMat-Bulk.

a = 6.0941 Å, b = 6.4400 Å, c = 6.6384 Å
α = 76.41°, β = 80.04°, γ = 76.62°
Fractional coordinates of all 27 atoms:
1 Sr 0.0000 0.0000 0.0000
2 H 0.2802 0.6744 0.6916
3 H 0.4421 0.7425 0.8076
4 H 0.3019 0.3807 0.3659
5 H 0.2625 0.1512 0.3143
6 H 0.2960 0.7408 0.3750
7 H 0.4402 0.8660 0.1910
8 H 0.3073 0.3617 0.7287
9 H 0.2740 0.3248 0.9864
10 H 0.5579 0.2575 0.1924
11 H 0.7198 0.3256 0.3084
12 H 0.6981 0.6193 0.6341
13 H 0.7375 0.8488 0.6857
14 H 0.5598 0.1340 0.8090
15 H 0.7040 0.2592 0.6250
16 H 0.6927 0.6383 0.2713
17 H 0.7260 0.6752 0.0136
18 O 0.3745 0.5100 0.5150
19 O 0.6255 0.4900 0.4850
20 O 0.2748 0.7556 0.8049
21 O 0.2746 0.3060 0.2547
22 O 0.2808 0.8853 0.2661
23 O 0.2810 0.2517 0.8675
24 O 0.7252 0.2444 0.1951
25 O 0.7254 0.6940 0.7453
26 O 0.7192 0.1147 0.7339
27 O 0.7190 0.7483 0.1325

Size of the total moment   0.10 μB/f.u.
Energy above the lowest structure with this stoichiometry   34.2 meV per atom

=====

15.
First-principles (meta-GGA SCAN) data for Li4TaTc at its PBEsol-relaxed geometry, as listed in Alexandria via LeMat-Bulk.

a = 4.7831 Å, b = 4.7831 Å, c = 4.7831 Å
α = 60.00°, β = 60.00°, γ = 60.00°
Fractional coordinates of all 6 atoms:
1 Li 0.3735 0.3735 0.3735
2 Li 0.3735 0.3735 0.8795
3 Li 0.8795 0.3735 0.3735
4 Li 0.3735 0.8795 0.3735
5 Ta 0.7500 0.7500 0.7500
6 Tc 0.0000 0.0000 0.0000

Size of the total moment   0.00 μB/f.u.
DFT formation energy   452 meV/atom

=====

16.
First-principles (meta-GGA SCAN) data for MgTlSi at its PBEsol-relaxed geometry, as listed in Alexandria via LeMat-Bulk.

a = 4.6814 Å, b = 4.6814 Å, c = 4.6814 Å
α = 60.00°, β = 60.00°, γ = 60.00°
Fractional coordinates of all 3 atoms:
1 Mg 0.0000 0.0000 0.0000
2 Si 0.5000 0.5000 0.5000
3 Tl 0.2500 0.2500 0.2500

Size of the total moment   0.00 μB/f.u.
Energy above the lowest structure with this stoichiometry   125.8 meV per atom
Formation energy (no corrections)   124 kJ/mol of formula units